No. 1
The following is a PBE calculation of a relaxed structure of Cs2Ga2Sb3, from the Alexandria database.

a = 10.5743 Å, b = 10.5743 Å, c = 13.4981 Å
α = 123.65°, β = 123.65°, γ = 25.74°
Atoms (fractional coordinates):
Cs 0.1260 0.1260 0.4735
Cs 0.2384 0.2384 0.8503
Cs 0.7616 0.7616 0.1497
Cs 0.8740 0.8740 0.5265
Ga 0.0756 0.0756 0.1272
Ga 0.4830 0.4830 0.2102
Ga 0.5170 0.5170 0.7898
Ga 0.9244 0.9244 0.8728
Sb 0.0821 0.0821 0.9269
Sb 0.3679 0.3679 0.7425
Sb 0.4417 0.4417 0.3745
Sb 0.5583 0.5583 0.6255
Sb 0.6321 0.6321 0.2575
Sb 0.9179 0.9179 0.0731

Calculated values
space group = No. 12
uncorrected formation energy = -29 kJ/mol of atoms
ρ = 4.7 g/cm3
calculated total energy = -44.47 eV for the cell shown


No. 2
The following is a PBE calculation of a relaxed structure of Cs5Ga2Sb5, from the Alexandria database.

a = 10.3908 Å, b = 10.3908 Å, c = 13.4881 Å
α = 123.41°, β = 123.41°, γ = 29.12°
Atoms (fractional coordinates):
Cs 0.0000 0.0000 0.0000
Cs 0.3622 0.3622 0.2001
Cs 0.3870 0.3870 0.6141
Cs 0.6130 0.6130 0.3859
Cs 0.6378 0.6378 0.7999
Ga 0.1684 0.1684 0.6336
Ga 0.8316 0.8316 0.3664
Sb 0.0000 0.0000 0.5000
Sb 0.2086 0.2086 0.2783
Sb 0.3114 0.3114 0.8514
Sb 0.6886 0.6886 0.1486
Sb 0.7914 0.7914 0.7217

Calculated values
space group = No. 12
uncorrected formation energy = -26 kJ/mol of atoms
ρ = 4.0 g/cm3
calculated total energy = -34.21 eV for the cell shown


No. 3
The following is a PBE calculation of a relaxed structure of Cs3GaSb4, from the Alexandria database.

a = 7.8467 Å, b = 7.8467 Å, c = 7.8467 Å
α = 130.46°, β = 104.09°, γ = 96.18°
Atoms (fractional coordinates):
Cs 0.0000 0.0000 0.0000
Cs 0.1172 0.3631 0.7540
Cs 0.6091 0.3631 0.2460
Ga 0.4273 0.9273 0.5000
Sb 0.0487 0.7081 0.3405
Sb 0.3676 0.7081 0.6595
Sb 0.6301 0.4130 0.7829
Sb 0.6301 0.8472 0.2171

Calculated values
space group = No. 44
uncorrected formation energy = -26 kJ/mol of atoms
ρ = 4.8 g/cm3
calculated total energy = -24.27 eV for the cell shown


No. 4
The following is a PBE calculation of a relaxed structure of Cs2GaSb, from the Alexandria database.

a = 6.3141 Å, b = 6.3141 Å, c = 6.3141 Å
α = 60.00°, β = 60.00°, γ = 60.00°
Atoms (fractional coordinates):
Cs 0.2500 0.2500 0.2500
Cs 0.7500 0.7500 0.7500
Ga 0.0000 0.0000 0.0000
Sb 0.5000 0.5000 0.5000

Calculated values
space group = No. 225
relative energy among the computed polymorphs = 330 meV per atom
uncorrected formation energy = 3 kJ/mol of atoms
ρ = 4.3 g/cm3
calculated total energy = -8.71 eV for the cell shown


No. 5
The following is a PBE calculation of a relaxed structure of Cs2GaSb2, from the Alexandria database.

a = 7.9541 Å, b = 7.9541 Å, c = 6.3295 Å
α = 90.00°, β = 90.00°, γ = 90.00°
Atoms (fractional coordinates):
Cs 0.1729 0.3271 0.0000
Cs 0.3271 0.8271 0.0000
Cs 0.6729 0.1729 0.0000
Cs 0.8271 0.6729 0.0000
Ga 0.0000 0.0000 0.5000
Ga 0.5000 0.5000 0.5000
Sb 0.1294 0.6294 0.5000
Sb 0.3706 0.1294 0.5000
Sb 0.6294 0.8706 0.5000
Sb 0.8706 0.3706 0.5000

Calculated values
space group = No. 127
relative energy among the computed polymorphs = 235 meV per atom
uncorrected formation energy = -20 kJ/mol of atoms
ρ = 4.8 g/cm3
calculated total energy = -28.05 eV for the cell shown


No. 6
The following is a PBE calculation of a relaxed structure of Cs2GaSb, from the Alexandria database.

a = 8.2738 Å, b = 8.2738 Å, c = 10.5811 Å
α = 90.00°, β = 90.00°, γ = 92.18°
Atoms (fractional coordinates):
Cs 0.0008 0.4992 0.7500
Cs 0.0019 0.9981 0.8226
Cs 0.4981 0.5019 0.3226
Cs 0.4992 0.0008 0.2500
Cs 0.5008 0.9992 0.7500
Cs 0.5019 0.4981 0.6774
Cs 0.9981 0.0019 0.1774
Cs 0.9992 0.5008 0.2500
Ga 0.1438 0.8562 0.4994
Ga 0.3562 0.6438 0.9994
Ga 0.6438 0.3562 0.0006
Ga 0.8562 0.1438 0.5006
Sb 0.1901 0.1901 0.5000
Sb 0.3099 0.3099 0.0000
Sb 0.6901 0.6901 0.0000
Sb 0.8099 0.8099 0.5000

Calculated values
space group = No. 64
relative energy among the computed polymorphs = 0 meV per atom
uncorrected formation energy = -28 kJ/mol of atoms
ρ = 4.2 g/cm3
calculated total energy = -40.12 eV for the cell shown